Record 1
Computed, not measured: SrGe4O9 after structural relaxation at the PBE level of DFT.

a b c (Å): 11.5118 11.5118 4.8328
angles (deg): 90.00 90.00 120.00
Atoms (fractional coordinates):
Sr 0.0000 0.3270 0.0000
Sr 0.3270 0.0000 0.0000
Sr 0.6730 0.6730 0.0000
Ge 0.0000 0.0000 0.0000
Ge 0.0000 0.8203 0.5000
Ge 0.1499 0.6590 0.5988
Ge 0.1797 0.1797 0.5000
Ge 0.3333 0.6667 0.1057
Ge 0.3410 0.4909 0.5988
Ge 0.4909 0.3410 0.4012
Ge 0.5091 0.8501 0.5988
Ge 0.6590 0.1499 0.4012
Ge 0.6667 0.3333 0.8943
Ge 0.8203 0.0000 0.5000
Ge 0.8501 0.5091 0.4012
O 0.0000 0.5107 0.5000
O 0.0608 0.1552 0.2371
O 0.0943 0.9392 0.2371
O 0.1110 0.7857 0.7048
O 0.1552 0.0608 0.7629
O 0.1793 0.5768 0.8766
O 0.2143 0.3253 0.7048
O 0.2495 0.5101 0.3269
O 0.2606 0.7505 0.3269
O 0.3253 0.2143 0.2952
O 0.3975 0.8207 0.8766
O 0.4232 0.6025 0.8766
O 0.4893 0.4893 0.5000
O 0.4899 0.7394 0.3269
O 0.5101 0.2495 0.6731
O 0.5107 0.0000 0.5000
O 0.5768 0.1793 0.1234
O 0.6025 0.4232 0.1234
O 0.6747 0.8890 0.7048
O 0.7394 0.4899 0.6731
O 0.7505 0.2606 0.6731
O 0.7857 0.1110 0.2952
O 0.8207 0.3975 0.1234
O 0.8448 0.9057 0.2371
O 0.8890 0.6747 0.2952
O 0.9057 0.8448 0.7629
O 0.9392 0.0943 0.7629

**SG**: P321
**Crystal system**: trigonal
**VASP energy**: -6.5179 eV/atom


Record 2
Computed, not measured: MgCdO2 after structural relaxation at the PBE level of DFT.

a b c (Å): 6.3644 6.3644 6.3644
angles (deg): 31.55 31.55 31.55
Atoms (fractional coordinates):
Mg 0.0000 0.0000 0.0000
Cd 0.5000 0.5000 0.5000
O 0.1006 0.1006 0.1006
O 0.8994 0.8994 0.8994

**SG**: R-3m
**Crystal system**: trigonal
**VASP energy**: -4.2941 eV/atom


Record 3
Computed, not measured: Ag3IrPb after structural relaxation at the PBE level of DFT.

a b c (Å): 5.0754 5.0754 5.0754
angles (deg): 90.00 90.00 90.00
Atoms (fractional coordinates):
Ag 0.0000 0.0000 0.5000
Ag 0.0000 0.5000 0.0000
Ag 0.5000 0.0000 0.0000
Ir 0.0000 0.0000 0.0000
Pb 0.5000 0.5000 0.5000

**SG**: Pm-3m
**Crystal system**: cubic
**VASP energy**: -3.3228 eV/atom
**Formation energy from the elements**: 4.51 eV per formula unit


Record 4
Computed, not measured: Zr2UHg after structural relaxation at the PBE level of DFT.

a b c (Å): 3.5830 3.5830 6.8342
angles (deg): 90.00 90.00 90.00
Atoms (fractional coordinates):
Zr 0.0000 0.0000 0.2398
Zr 0.0000 0.0000 0.7602
U 0.5000 0.5000 0.0000
Hg 0.5000 0.5000 0.5000

**SG**: P4/mmm
**Crystal system**: tetragonal
**VASP energy**: -7.0538 eV/atom
**Formation energy from the elements**: 0.47 eV per formula unit


Record 5
Computed, not measured: HgPPt2 after structural relaxation at the PBE level of DFT.

a b c (Å): 5.3625 5.3625 5.3625
angles (deg): 147.88 115.69 73.72
Atoms (fractional coordinates):
Hg 0.0000 0.0000 0.0000
P 0.5000 0.5000 0.0000
Pt 0.2929 0.7929 0.5000
Pt 0.7071 0.2071 0.5000

**SG**: Immm
**Crystal system**: orthorhombic
**VASP energy**: -4.3556 eV/atom
**Formation energy from the elements**: 0.37 eV per formula unit


Record 6
Computed, not measured: Tl2CuSb2Pb after structural relaxation at the PBE level of DFT.

a b c (Å): 9.6371 9.6371 9.6371
angles (deg): 140.38 55.95 142.16
Atoms (fractional coordinates):
Tl 0.1858 0.1695 0.3553
Tl 0.3142 0.6695 0.9836
Tl 0.6858 0.3305 0.0164
Tl 0.8142 0.8305 0.6447
Cu 0.2500 0.7500 0.5000
Cu 0.7500 0.2500 0.5000
Sb 0.1126 0.6535 0.7661
Sb 0.3874 0.1535 0.5410
Sb 0.6126 0.8465 0.4590
Sb 0.8874 0.3465 0.2339
Pb 0.2500 0.2500 0.0000
Pb 0.7500 0.7500 0.0000

**SG**: Ibam
**Crystal system**: orthorhombic
**VASP energy**: -3.4024 eV/atom


Record 7
Computed, not measured: Fe2SiAuCl after structural relaxation at the PBE level of DFT.

a b c (Å): 5.0774 5.0774 4.4988
angles (deg): 90.00 90.00 90.00
Atoms (fractional coordinates):
Fe 0.0000 0.5000 0.0000
Fe 0.5000 0.0000 0.0000
Si 0.0000 0.0000 0.5000
Au 0.0000 0.0000 0.0000
Cl 0.5000 0.5000 0.5000

**SG**: P4/mmm
**Crystal system**: tetragonal
**VASP energy**: -4.5825 eV/atom


Record 8
Computed, not measured: TbHo6ErTm2 after structural relaxation at the PBE level of DFT.

a b c (Å): 8.6738 8.6738 9.4319
angles (deg): 93.77 93.77 117.75
Atoms (fractional coordinates):
Tb 0.0246 0.9754 0.7500
Tb 0.9754 0.0246 0.2500
Ho 0.0183 0.5678 0.6838
Ho 0.1232 0.7522 0.0559
Ho 0.2478 0.8768 0.4441
Ho 0.2912 0.5057 0.8807
Ho 0.4322 0.9817 0.8162
Ho 0.4943 0.7088 0.6193
Ho 0.5057 0.2912 0.3807
Ho 0.5678 0.0183 0.1838
Ho 0.7088 0.4943 0.1193
Ho 0.7522 0.1232 0.5559
Ho 0.8768 0.2478 0.9441
Ho 0.9817 0.4322 0.3162
Er 0.4090 0.5910 0.2500
Er 0.5910 0.4090 0.7500
Tm 0.1977 0.3031 0.5451
Tm 0.3031 0.1977 0.0451
Tm 0.6969 0.8023 0.9549
Tm 0.8023 0.6969 0.4549

**SG**: C2/c
**Crystal system**: monoclinic
**VASP energy**: -4.4380 eV/atom
**Formation energy from the elements**: 1.22 eV per formula unit


Record 9
Computed, not measured: Mn2NbP2 after structural relaxation at the PBE level of DFT.

a b c (Å): 6.7452 6.7452 2.7442
angles (deg): 90.00 90.00 90.00
Atoms (fractional coordinates):
Mn 0.1378 0.3622 0.0000
Mn 0.3622 0.8622 0.0000
Mn 0.6378 0.1378 0.0000
Mn 0.8622 0.6378 0.0000
Nb 0.0000 0.0000 0.5000
Nb 0.5000 0.5000 0.5000
P 0.1507 0.6507 0.5000
P 0.3493 0.1507 0.5000
P 0.6507 0.8493 0.5000
P 0.8493 0.3493 0.5000

**SG**: P4/mbm
**Crystal system**: tetragonal
**VASP energy**: -8.2463 eV/atom
**Formation energy from the elements**: -2.00 eV per formula unit


Record 10
Computed, not measured: Zr2ScIn after structural relaxation at the PBE level of DFT.

a b c (Å): 5.5536 5.5536 3.1669
angles (deg): 90.00 90.00 111.17
Atoms (fractional coordinates):
Zr 0.0000 0.5000 0.0000
Zr 0.5000 0.0000 0.0000
Sc 0.0000 0.0000 0.5000
In 0.5000 0.5000 0.5000

**SG**: Cmmm
**Crystal system**: orthorhombic
**VASP energy**: -6.6974 eV/atom
**Formation energy from the elements**: -0.62 eV per formula unit


Record 11
Computed, not measured: BeW after structural relaxation at the PBE level of DFT.

a b c (Å): 4.2593 2.6826 4.3967
angles (deg): 90.00 90.00 90.00
Atoms (fractional coordinates):
Be 0.2500 0.0000 0.1738
Be 0.7500 0.0000 0.8262
W 0.2500 0.5000 0.6838
W 0.7500 0.5000 0.3162

**SG**: Pmma
**Crystal system**: orthorhombic
**VASP energy**: -8.1305 eV/atom
**Formation energy from the elements**: 0.42 eV per formula unit


Record 12
Computed, not measured: ZnIn3Hg3 after structural relaxation at the PBE level of DFT.

a b c (Å): 8.1619 8.1619 8.1619
angles (deg): 90.00 90.00 90.00
Atoms (fractional coordinates):
Zn 0.0000 0.0000 0.0000
Zn 0.5000 0.5000 0.5000
In 0.0000 0.2500 0.5000
In 0.0000 0.7500 0.5000
In 0.2500 0.5000 0.0000
In 0.5000 0.0000 0.2500
In 0.5000 0.0000 0.7500
In 0.7500 0.5000 0.0000
Hg 0.0000 0.5000 0.2500
Hg 0.0000 0.5000 0.7500
Hg 0.2500 0.0000 0.5000
Hg 0.5000 0.2500 0.0000
Hg 0.5000 0.7500 0.0000
Hg 0.7500 0.0000 0.5000

**SG**: Pm-3n
**Crystal system**: cubic
**VASP energy**: -1.1101 eV/atom
**Formation energy from the elements**: 2.62 eV per formula unit